First-principles (PBE) data for a geometry-optimized NiSbMoPt structure, as listed in OQMD.

Computed properties:
Energy relative to the lowest polymorph listed for this composition   0 meV/atom
Calculated volume   256 Å³/cell

a = 6.353 Å, b = 6.353 Å, c = 6.353 Å
α = 90.00°, β = 90.00°, γ = 90.00°
Space group F-43m (No. 216)
One atom of each set of equivalent atoms:
Ni 0.000 0.000 0.000 [4 per cell]
Sb 0.250 0.250 0.750 [4 per cell]
Mo 0.000 0.000 0.500 [4 per cell]
Pt 0.250 0.250 0.250 [4 per cell]